Entry 1:
This record from Alexandria via LeMat-Bulk describes a relaxed La4NdCo crystal. The functional is GGA-PBE.

Results
Relative energy among the computed polymorphs ... 3 meV/atom
Energy ... -5.246 eV/atom
V ... 206.1 Å³/f.u.
Formation energy from the elements ... 0.02 eV/atom

a = 9.742 Å, b = 9.742 Å, c = 7.614 Å
α = 90.00°, β = 90.00°, γ = 145.22°
Fractional coordinates of all 12 atoms:
La1 0.000 0.000 0.000
La2 0.000 0.000 0.500
La3 0.201 0.799 0.501
La4 0.202 0.798 0.002
La5 0.390 0.610 0.751
La6 0.610 0.390 0.251
La7 0.798 0.202 0.502
La8 0.799 0.201 0.001
Nd1 0.384 0.616 0.252
Nd2 0.616 0.384 0.752
Co1 0.096 0.904 0.251
Co2 0.904 0.096 0.751

Entry 2:
This record from Alexandria via LeMat-Bulk describes a relaxed LaNd2Co3 crystal. The functional is GGA-PBE.

Results
Energy ... -6.043 eV/atom
V ... 134.3 Å³/f.u.
Formation energy from the elements ... -0.08 eV/atom

a = 8.193 Å, b = 8.193 Å, c = 4.629 Å
α = 90.00°, β = 90.00°, γ = 59.84°
Fractional coordinates of all 12 atoms:
La1 0.172 0.828 0.750
La2 0.828 0.172 0.250
Nd1 0.166 0.495 0.250
Nd2 0.495 0.166 0.750
Nd3 0.505 0.834 0.250
Nd4 0.834 0.505 0.750
Co1 0.166 0.166 0.000
Co2 0.166 0.166 0.500
Co3 0.500 0.500 0.000
Co4 0.500 0.500 0.500
Co5 0.834 0.834 0.000
Co6 0.834 0.834 0.500

Entry 3:
This record from Alexandria via LeMat-Bulk describes a relaxed La6NdCo2 crystal. The functional is GGA-PBE.

Results
Energy ... -5.404 eV/atom
V ... 275.1 Å³/f.u.
Formation energy from the elements ... -0.01 eV/atom

a = 8.608 Å, b = 8.608 Å, c = 9.477 Å
α = 111.92°, β = 111.92°, γ = 60.29°
Fractional coordinates of all 18 atoms:
La1 0.054 0.639 0.444
La2 0.076 0.668 0.844
La3 0.274 0.424 0.116
La4 0.332 0.924 0.656
La5 0.361 0.946 0.056
La6 0.424 0.274 0.616
La7 0.576 0.726 0.384
La8 0.639 0.054 0.944
La9 0.668 0.076 0.344
La10 0.726 0.576 0.884
La11 0.924 0.332 0.156
La12 0.946 0.361 0.556
Nd1 0.078 0.922 0.250
Nd2 0.922 0.078 0.750
Co1 0.164 0.264 0.853
Co2 0.264 0.164 0.353
Co3 0.736 0.836 0.647
Co4 0.836 0.736 0.147

Entry 4:
This record from Alexandria via LeMat-Bulk describes a relaxed La4Nd3Co4 crystal. The functional is GGA-PBE.

Results
Energy ... -5.679 eV/atom
V ... 268.4 Å³/f.u.
Formation energy from the elements ... 0.00 eV/atom

a = 8.613 Å, b = 8.613 Å, c = 8.613 Å
α = 147.16°, β = 128.50°, γ = 62.44°
Fractional coordinates of all 11 atoms:
La1 0.061 0.837 0.224
La2 0.386 0.163 0.224
La3 0.614 0.837 0.776
La4 0.939 0.163 0.776
Nd1 0.000 0.500 0.500
Nd2 0.399 0.399 0.000
Nd3 0.601 0.601 0.000
Co1 0.206 0.706 0.500
Co2 0.338 0.000 0.338
Co3 0.662 0.000 0.662
Co4 0.794 0.294 0.500

Entry 5:
This record from Alexandria via LeMat-Bulk describes a relaxed LaNdCo2 crystal. The functional is GGA-PBE.

Results
Relative energy among the computed polymorphs ... 119 meV/atom
Energy ... -5.926 eV/atom
V ... 85.0 Å³/f.u.
Formation energy from the elements ... 0.05 eV/atom

a = 4.940 Å, b = 4.940 Å, c = 3.484 Å
α = 90.00°, β = 90.00°, γ = 90.00°
Fractional coordinates of all 4 atoms:
La1 0.000 0.000 0.000
Nd1 0.500 0.500 0.000
Co1 0.000 0.500 0.500
Co2 0.500 0.000 0.500

Entry 6:
This record from Alexandria via LeMat-Bulk describes a relaxed La3Nd3Co4 crystal. The functional is GGA-PBE.

Results
Energy ... -5.758 eV/atom
V ... 243.7 Å³/f.u.
Formation energy from the elements ... -0.01 eV/atom

a = 4.278 Å, b = 7.548 Å, c = 7.548 Å
α = 89.71°, β = 90.00°, γ = 90.00°
Fractional coordinates of all 10 atoms:
La1 0.000 0.000 0.000
La2 0.000 0.500 0.845
La3 0.000 0.845 0.500
Nd1 0.000 0.343 0.343
Nd2 0.500 0.178 0.666
Nd3 0.500 0.666 0.178
Co1 0.500 0.070 0.283
Co2 0.500 0.283 0.070
Co3 0.500 0.578 0.578
Co4 0.500 0.791 0.791